# TlIrAuSeS2

A relaxed structure of TlIrAuSeS2 (GGA-PBE, OQMD via LeMat-Bulk).

The space group is Cmcm (No. 63) and the conventional cell measures 3.6903, 14.8549 and 9.8606 Å, with angles of 90.00, 90.00 and 90.00 degrees. The distinct sites, in fractional coordinates, are Tl at (0.0000, 0.2063, 0.2500), Ir at (0.0000, 0.5000, 0.0000), Au at (0.0000, 0.1364, 0.7500), Se at (0.0000, 0.4528, 0.7500) and S at (0.0000, 0.1038, 0.5180).

Its total energy is -109.12 eV/cell.

# ZnHgB

A relaxed structure of ZnHgB (GGA-PBE, OQMD via LeMat-Bulk).

The space group is F-43m (No. 216) and the conventional cell measures 5.6775, 5.6775 and 5.6775 Å, with angles of 90.00, 90.00 and 90.00 degrees. The distinct sites, in fractional coordinates, are Zn at (0.0000, 0.0000, 0.0000), Hg at (0.0000, 0.0000, 0.5000) and B at (0.2500, 0.2500, 0.7500).

The polymorph energy (0 for the lowest one) is 0 meV/atom. Its total energy is -24.12 eV/cell.